No. 1
VASP calculation (PBE) on an optimized crystal structure of Cs2SnRh.

Unit cell a=5.9750 b=5.9750 c=5.9750 alpha=60.00 beta=60.00 gamma=60.00
Last column: nearest neighbours and their distance in Å.
Atoms (fractional coordinates):
Rh  0.0000  0.0000  0.0000  8 Cs 3.66
Cs  0.2500  0.2500  0.2500  4 Sn 3.66, 4 Rh 3.66
Cs  0.7500  0.7500  0.7500  4 Sn 3.66, 4 Rh 3.66
Sn  0.5000  0.5000  0.5000  8 Cs 3.66

## Properties
Its energy of formation from the pure elements is 0.853 eV/atom. The energy above the most stable polymorph in this dataset comes out at 0.743 eV per atom.

No. 2
VASP calculation (PBE) on an optimized crystal structure of ZrV2Mo.

Unit cell a=3.1258 b=3.1258 c=6.7102 alpha=90.00 beta=90.00 gamma=90.00
Last column: nearest neighbours and their distance in Å.
Atoms (fractional coordinates):
Zr  0.5000  0.5000  0.5000  8 V 2.92, 4 Zr 3.13
V  0.0000  0.0000  0.7845  4 Mo 2.64, 1 V 2.89, 4 Zr 2.92
V  0.0000  0.0000  0.2155  4 Mo 2.64, 1 V 2.89, 4 Zr 2.92
Mo  0.5000  0.5000  0.0000  8 V 2.64

## Properties
Its energy of formation from the pure elements is 0.038 eV/atom. The energy above the most stable polymorph in this dataset comes out at 0.000 eV per atom.

No. 3
VASP calculation (PBE) on an optimized crystal structure of NaPr2ZnO5.

Unit cell a=5.8395 b=6.8133 c=6.8133 alpha=90.00 beta=90.00 gamma=90.00
Last column: nearest neighbours and their distance in Å.
Atoms (fractional coordinates):
O  0.2451  0.1349  0.6349  1 Zn 1.93
O  0.7549  0.1349  0.6349  1 Zn 1.93
O  0.2451  0.8651  0.3651  1 Zn 1.93
O  0.7549  0.3651  0.1349  1 Zn 1.93
O  0.2451  0.6349  0.8651  1 Zn 1.93
O  0.5000  0.5000  0.5000  4 Pr 2.51
O  0.7549  0.8651  0.3651  1 Zn 1.93
O  0.7549  0.6349  0.8651  1 Zn 1.93
O  0.5000  0.0000  0.0000  4 Pr 2.51
O  0.2451  0.3651  0.1349  1 Zn 1.93
Zn  0.0000  0.0000  0.5000  4 O 1.93
Zn  0.0000  0.5000  0.0000  4 O 1.93
Pr  0.5000  0.8245  0.6755  8 O 2.36-2.60
Pr  0.5000  0.3245  0.8245  8 O 2.36-2.60
Pr  0.5000  0.1755  0.3245  8 O 2.36-2.60
Pr  0.5000  0.6755  0.1755  8 O 2.36-2.60
Na  0.0000  0.0000  0.0000  10 O 2.92-3.01
Na  0.0000  0.5000  0.5000  10 O 2.92-3.01

## Properties
The value obtained for the uncorrected formation energy is -51.5 kcal/mol of atoms.

No. 4
VASP calculation (PBE) on an optimized crystal structure of HfMoH2Rh.

Unit cell a=3.6353 b=5.4023 c=3.6353 alpha=90.00 beta=90.00 gamma=90.00
Last column: nearest neighbours and their distance in Å.
Atoms (fractional coordinates):
H  0.0000  0.0000  0.5000  2 Mo 1.82
H  0.5000  0.0000  0.0000  2 Mo 1.82
Mo  0.0000  0.0000  0.0000  4 H 1.82
Rh  0.5000  0.5000  0.5000  4 Hf 2.57
Hf  0.0000  0.5000  0.0000  4 Rh 2.57, 2 Mo 2.70

## Properties
The calculation puts the final energy at -32.010 eV/cell.

No. 5
VASP calculation (PBE) on an optimized crystal structure of NpPbS4.

Unit cell a=7.3435 b=7.3435 c=7.9369 alpha=90.00 beta=90.00 gamma=74.29
Last column: nearest neighbours and their distance in Å.
Atoms (fractional coordinates):
S  0.3562  0.3562  0.4830  2 Np 2.60-2.62, 1 Pb 2.90
S  0.6438  0.6438  0.5170  2 Np 2.60-2.62, 1 Pb 2.90
S  0.2302  0.7811  0.2500  1 Np 2.44, 1 Pb 2.73
S  0.2189  0.7698  0.7500  1 Np 2.44, 1 Pb 2.73
S  0.3562  0.3562  0.0170  2 Np 2.60-2.62, 1 Pb 2.90
S  0.7811  0.2302  0.2500  1 Np 2.44, 1 Pb 2.73
S  0.7698  0.2189  0.7500  1 Np 2.44, 1 Pb 2.73
S  0.6438  0.6438  0.9830  2 Np 2.60-2.62, 1 Pb 2.90
Np  0.5146  0.5146  0.2500  6 S 2.44-2.62
Np  0.4854  0.4854  0.7500  6 S 2.44-2.62
Pb  0.8347  0.8347  0.7500  4 S 2.73-2.90
Pb  0.1653  0.1653  0.2500  4 S 2.73-2.90

## Properties
The value obtained for the uncorrected formation energy is -12.9 kcal/mol of atoms.

No. 6
VASP calculation (PBE) on an optimized crystal structure of K3Li2Ta6P3O24.

Unit cell a=8.5089 b=8.5089 c=8.5089 alpha=103.35 beta=103.35 gamma=103.35
Last column: nearest neighbours and their distance in Å.
Atoms (fractional coordinates):
Ta  0.6595  0.8498  0.9816  5 O 1.90-2.12
Ta  0.0281  0.1598  0.3502  5 O 1.90-2.12
Ta  0.8498  0.9816  0.6595  5 O 1.90-2.12
Ta  0.9816  0.6595  0.8498  5 O 1.90-2.12
Ta  0.3502  0.0281  0.1598  5 O 1.90-2.12
Ta  0.1598  0.3502  0.0281  5 O 1.90-2.12
K  0.6198  0.3901  0.0068  4 O 2.79-2.93
K  0.0068  0.6198  0.3901  4 O 2.79-2.93
K  0.3901  0.0068  0.6198  4 O 2.79-2.93
O  0.0748  0.3181  0.2119  2 Ta 1.92-2.01
O  0.6396  0.7593  0.4599  1 P 1.55
O  0.8501  0.0048  0.1597  2 Ta 1.90
O  0.1597  0.8501  0.0048  2 Ta 1.90
O  0.8664  0.3007  0.4200  1 P 1.55
O  0.5049  0.9761  0.0337  2 Ta 1.94-1.95
O  0.1435  0.5894  0.7094  1 P 1.55
O  0.2507  0.3700  0.5500  1 P 1.55
O  0.9761  0.0337  0.5049  2 Ta 1.94-1.95
O  0.0048  0.1597  0.8501  2 Ta 1.90
O  0.4599  0.6396  0.7593  1 P 1.55
O  0.7094  0.1435  0.5894  1 P 1.55
O  0.3007  0.4200  0.8664  1 P 1.55
O  0.9350  0.7979  0.6916  2 Ta 1.92-2.01
O  0.5894  0.7094  0.1435  1 P 1.55
O  0.5500  0.2507  0.3700  1 P 1.55
O  0.0337  0.5049  0.9761  2 Ta 1.94-1.95
O  0.7979  0.6916  0.9350  2 Ta 1.92-2.01
O  0.3181  0.2119  0.0748  2 Ta 1.92-2.01
O  0.4200  0.8664  0.3007  1 P 1.55
O  0.2119  0.0748  0.3181  2 Ta 1.92-2.01
O  0.6916  0.9350  0.7979  2 Ta 1.92-2.01
O  0.3700  0.5500  0.2507  1 P 1.55
O  0.7593  0.4599  0.6396  1 P 1.55
Li  0.6449  0.6449  0.6449  3 O 2.03
Li  0.3646  0.3646  0.3646  3 O 2.03
P  0.7225  0.2875  0.5048  4 O 1.55
P  0.2875  0.5048  0.7225  4 O 1.55
P  0.5048  0.7225  0.2875  4 O 1.55

## Properties
The value obtained for the uncorrected formation energy is -59.2 kcal/mol of atoms.

No. 7
VASP calculation (PBE) on an optimized crystal structure of Pm4PrPt4.

Unit cell a=5.8637 b=9.3742 c=9.3742 alpha=90.00 beta=90.00 gamma=90.00
Last column: nearest neighbours and their distance in Å.
Atoms (fractional coordinates):
Pm  0.5012  0.1025  0.3146  5 Pt 2.88-2.96
Pm  0.9988  0.6025  0.8146  5 Pt 2.88-2.96
Pm  0.9988  0.3975  0.1854  5 Pt 2.88-2.96
Pm  0.5012  0.8975  0.6854  5 Pt 2.88-2.96
Pm  0.0012  0.1854  0.6025  5 Pt 2.88-2.96
Pm  0.4988  0.6854  0.1025  5 Pt 2.88-2.96
Pm  0.0012  0.8146  0.3975  5 Pt 2.88-2.96
Pm  0.4988  0.3146  0.8975  5 Pt 2.88-2.96
Pr  0.0000  0.0000  0.0000  4 Pt 2.95
Pr  0.5000  0.5000  0.5000  4 Pt 2.95
Pt  0.0011  0.8949  0.7032  5 Pm 2.88-2.96, 1 Pr 2.95
Pt  0.0011  0.1051  0.2968  5 Pm 2.88-2.96, 1 Pr 2.95
Pt  0.4989  0.3949  0.2032  5 Pm 2.88-2.96, 1 Pr 2.95
Pt  0.9989  0.2968  0.8949  5 Pm 2.88-2.96, 1 Pr 2.95
Pt  0.4989  0.6051  0.7968  5 Pm 2.88-2.96, 1 Pr 2.95
Pt  0.9989  0.7032  0.1051  5 Pm 2.88-2.96, 1 Pr 2.95
Pt  0.5011  0.7968  0.3949  5 Pm 2.88-2.96, 1 Pr 2.95
Pt  0.5011  0.2032  0.6051  5 Pm 2.88-2.96, 1 Pr 2.95

## Properties
Its energy of formation from the pure elements is -0.971 eV/atom.

No. 8
VASP calculation (PBE) on an optimized crystal structure of BaEu3Ge.

Unit cell a=6.0663 b=6.0663 c=6.0663 alpha=90.00 beta=90.00 gamma=90.00
Last column: nearest neighbours and their distance in Å.
Atoms (fractional coordinates):
Eu  0.0000  0.5000  0.0000  2 Ge 3.03
Eu  0.5000  0.0000  0.0000  2 Ge 3.03
Eu  0.0000  0.0000  0.5000  2 Ge 3.03
Ge  0.0000  0.0000  0.0000  6 Eu 3.03
Ba  0.5000  0.5000  0.5000  12 Eu 4.29

## Properties
Its energy of formation from the pure elements is -0.194 eV/atom.